[1]
DFT (PBEsol) results for a relaxed ReNiSb2 crystal.

Space group   P4/mmm, No. 123
Total magnetic moment   0.0 Bohr magnetons per cell
Formation energy (no corrections)   0.3367 eV per atom
E   -27.26 eV/cell
DOS(E_F)   1.820 states/eV/cell

```
4
Lattice="3.293 0.000 0.000 0.000 3.293 0.000 0.000 0.000 6.216" Properties=species:S:1:pos:R:3 pbc="T T T"
Ni 1.646 1.646 0.000
Re 1.646 1.646 3.108
Sb 0.000 0.000 4.694
Sb 0.000 0.000 1.522
```

---

[2]
DFT (PBEsol) results for a relaxed Re2NiSb crystal.

Space group   I4/mmm, No. 139
Total magnetic moment   0.0 Bohr magnetons per cell
Formation energy (no corrections)   0.5477 eV per atom
E   -35.19 eV/cell
DOS(E_F)   6.037 states/eV/cell

```
4
Lattice="3.878 0.000 0.000 0.000 3.878 0.000 -1.939 -1.939 3.943" Properties=species:S:1:pos:R:3 pbc="T T T"
Ni 0.000 0.000 0.000
Re 1.939 0.000 1.972
Re 0.000 1.939 1.972
Sb 1.939 1.939 0.000
```

---

[3]
DFT (PBEsol) results for a relaxed ScReNi2 crystal.

Space group   Cm, No. 8
Total magnetic moment   0.0 Bohr magnetons per cell
E   -32.67 eV/cell
Calculated formation energy   -0.105 eV per atom
DOS(E_F)   3.644 states/eV/cell
ΔE to the lowest computed polymorph   0.0 meV per atom

```
4
Lattice="-0.625 1.144 2.317 3.873 -1.483 1.777 1.140 3.624 -3.007" Properties=species:S:1:pos:R:3 pbc="T T T"
Ni 3.774 -1.249 1.635
Ni 1.229 2.104 0.818
Re 2.476 3.407 -1.015
Sc 3.547 0.994 0.466
```

---

[4]
DFT (PBEsol) results for a relaxed Sc2ReNi crystal.

Space group   Cm, No. 8
Total magnetic moment   0.0 Bohr magnetons per cell
E   -33.10 eV/cell
Calculated formation energy   -0.101 eV per atom
DOS(E_F)   3.941 states/eV/cell

```
4
Lattice="-1.490 -1.535 -2.021 3.841 -2.662 -0.809 -2.246 -1.133 4.659" Properties=species:S:1:pos:R:3 pbc="T T T"
Ni 0.844 -2.015 -1.234
Re 1.679 -2.905 0.969
Sc 0.039 -5.160 1.749
Sc -1.178 -2.677 0.759
```

---

[5]
DFT (PBEsol) results for a relaxed ScReNi2 crystal.

Space group   P2/m, No. 10
Total magnetic moment   0.0 Bohr magnetons per cell
E   -31.94 eV/cell
Calculated formation energy   0.077 eV per atom
DOS(E_F)   4.177 states/eV/cell
ΔE to the lowest computed polymorph   181.6 meV per atom

```
4
Lattice="-1.732 1.959 -0.447 -3.460 -2.797 1.149 1.763 2.421 3.779" Properties=species:S:1:pos:R:3 pbc="T T T"
Ni 0.000 0.000 0.000
Ni 0.015 2.190 1.666
Re -2.596 -0.419 0.351
Sc -0.848 -0.188 2.464
```

---

[6]
DFT (PBEsol) results for a relaxed ScReNi2 crystal.

Space group   P4/mmm, No. 123
Total magnetic moment   0.0 Bohr magnetons per cell
E   -32.58 eV/cell
Calculated formation energy   -0.082 eV per atom
DOS(E_F)   6.013 states/eV/cell
ΔE to the lowest computed polymorph   23.1 meV per atom

```
4
Lattice="2.724 0.000 0.000 0.000 4.434 0.000 0.000 0.000 4.434" Properties=species:S:1:pos:R:3 pbc="T T T"
Ni 0.000 0.000 2.217
Ni 0.000 2.217 0.000
Re 1.362 2.217 2.217
Sc 1.362 0.000 0.000
```